Here is a relaxed TcI4 crystal from OQMD. Energies are from GGA-PBE.

Uncorrected energy: -3.376 eV/atom
SG: P2/c

a = 7.415 Å, b = 8.413 Å, c = 6.976 Å
α = 90.00°, β = 108.71°, γ = 90.00°
Fractional coordinates of all 10 atoms:
I1 0.784 0.108 0.003
I2 0.759 0.650 0.032
I3 0.241 0.650 0.468
I4 0.216 0.108 0.497
I5 0.784 0.892 0.503
I6 0.759 0.350 0.532
I7 0.241 0.350 0.968
I8 0.216 0.892 0.997
Tc1 0.000 0.863 0.250
Tc2 0.000 0.137 0.750

=====

Here is a relaxed TcI crystal from OQMD. Energies are from GGA-PBE.

Uncorrected energy: -4.695 eV/atom
SG: P-6m2

a = 3.349 Å, b = 3.349 Å, c = 4.185 Å
α = 90.00°, β = 90.00°, γ = 120.00°
Fractional coordinates of all 2 atoms:
I1 0.667 0.333 0.750
Tc1 0.333 0.667 0.250

=====

Here is a relaxed TcI crystal from OQMD. Energies are from GGA-PBE.

Uncorrected energy: -4.577 eV/atom
SG: Fm-3m

a = 3.992 Å, b = 3.992 Å, c = 3.992 Å
α = 60.00°, β = 60.00°, γ = 60.00°
Fractional coordinates of all 2 atoms:
I1 0.000 0.000 0.000
Tc1 0.500 0.500 0.500

=====

Here is a relaxed TcI4 crystal from OQMD. Energies are from GGA-PBE.

Uncorrected energy: -3.344 eV/atom
SG: Cmmm

a = 8.048 Å, b = 8.048 Å, c = 8.048 Å
α = 122.19°, β = 109.78°, γ = 97.40°
Fractional coordinates of all 10 atoms:
I1 0.184 0.184 0.000
I2 0.816 0.816 0.000
I3 0.291 0.750 0.041
I4 0.709 0.750 0.459
I5 0.816 0.316 0.500
I6 0.184 0.684 0.500
I7 0.291 0.250 0.541
I8 0.709 0.250 0.959
Tc1 0.000 0.250 0.250
Tc2 0.000 0.750 0.750

=====

Which of these has the highest uncorrected energy? number 4